Here is a geometry-optimized PrMgSc2Hg4 structure from Alexandria via LeMat-Bulk. Energies are from GGA-PBE.

Output
- size of the total moment (μB/cell) = 0.000
- ΔE_f (eV/atom) = -0.38
- total DFT energy (no corrections) (eV per atom) = -2.914
- space-group type = R-3m, No. 166

Cell: 4.9552 4.9552 9.3629 Å, 74.66 74.66 60.00°
Closest atoms and distances in Å follow each position.
Fractional positions:
Pr: 0.0000 0.0000 0.0000  8 Hg 3.21-3.39
Mg: 0.5000 0.5000 0.5000  8 Hg 3.00-3.05
Sc: 0.7593 0.7593 0.7222  7 Hg 3.00-3.05
Sc: 0.2407 0.2407 0.2778  7 Hg 3.00-3.05
Hg: 0.3877 0.3877 0.8369  1 Mg 3.00, 3 Sc 3.04, 3 Pr 3.21
Hg: 0.8731 0.8731 0.3806  4 Sc 3.00-3.05, 3 Mg 3.05
Hg: 0.1269 0.1269 0.6194  4 Sc 3.00-3.05, 3 Mg 3.05
Hg: 0.6123 0.6123 0.1631  1 Mg 3.00, 3 Sc 3.04, 3 Pr 3.21

Here is a geometry-optimized PrMg2ScHg4 structure from Alexandria via LeMat-Bulk. Energies are from GGA-PBE.

Output
- size of the total moment (μB/cell) = 0.000
- ΔE_f (eV/atom) = -0.42
- total DFT energy (no corrections) (eV per atom) = -2.359
- space-group type = R-3m, No. 166

Cell: 5.0279 5.0279 8.8929 Å, 73.58 73.58 60.00°
Closest atoms and distances in Å follow each position.
Fractional positions:
Pr: 0.0000 0.0000 0.0000  8 Hg 3.16-3.27
Mg: 0.7520 0.7520 0.7439  7 Hg 2.98-3.11
Mg: 0.2480 0.2480 0.2561  7 Hg 2.98-3.11
Sc: 0.5000 0.5000 0.5000  8 Hg 2.95-3.05
Hg: 0.3831 0.3831 0.8507  1 Sc 2.95, 3 Mg 3.04, 3 Pr 3.16
Hg: 0.8702 0.8702 0.3894  4 Mg 2.98-3.11, 3 Sc 3.05, 1 Pr 3.27
Hg: 0.1298 0.1298 0.6106  4 Mg 2.98-3.11, 3 Sc 3.05, 1 Pr 3.27
Hg: 0.6169 0.6169 0.1493  1 Sc 2.95, 3 Mg 3.04, 3 Pr 3.16

Here is a geometry-optimized PrSmMg2Hg4 structure from Alexandria via LeMat-Bulk. Energies are from GGA-PBE.

Output
- size of the total moment (μB/cell) = 0.000
- ΔE_f (eV/atom) = -0.47
- total DFT energy (no corrections) (eV per atom) = -2.208
- space-group type = R-3m, No. 166

Cell: 5.1651 5.1651 8.9718 Å, 73.27 73.27 60.00°
Closest atoms and distances in Å follow each position.
Fractional positions:
Pr: 0.0000 0.0000 0.0000  8 Hg 3.18-3.21
Sm: 0.5000 0.5000 0.5000  8 Hg 3.13-3.15
Mg: 0.7503 0.7503 0.7492  8 Hg 3.13-3.22
Mg: 0.2497 0.2497 0.2508  8 Hg 3.13-3.22
Hg: 0.3767 0.3767 0.8700  1 Sm 3.13, 4 Mg 3.15-3.22, 3 Pr 3.18
Hg: 0.8735 0.8735 0.3794  4 Mg 3.13-3.17, 3 Sm 3.15, 1 Pr 3.21
Hg: 0.1265 0.1265 0.6206  4 Mg 3.13-3.17, 3 Sm 3.15, 1 Pr 3.21
Hg: 0.6233 0.6233 0.1300  1 Sm 3.13, 4 Mg 3.15-3.22, 3 Pr 3.18

Here is a geometry-optimized PrSmMgHg structure from Alexandria via LeMat-Bulk. Energies are from GGA-PBE.

Output
- size of the total moment (μB/cell) = 0.190
- ΔE_f (eV/atom) = -0.26
- total DFT energy (no corrections) (eV per atom) = -3.114
- space-group type = F-43m, No. 216

Cell: 5.4402 5.4402 5.4402 Å, 60.00 60.00 60.00°
Closest atoms and distances in Å follow each position.
Fractional positions:
Pr: 0.2500 0.2500 0.2500  4 Hg 3.33, 4 Mg 3.33
Mg: 0.0000 0.0000 0.0000  4 Sm 3.33, 4 Pr 3.33
Hg: 0.5000 0.5000 0.5000  4 Pr 3.33, 4 Sm 3.33
Sm: 0.7500 0.7500 0.7500  4 Mg 3.33, 4 Hg 3.33

Here is a geometry-optimized PrSmMgHg structure from Alexandria via LeMat-Bulk. Energies are from GGA-PBE.

Output
- size of the total moment (μB/cell) = 0.000
- ΔE_f (eV/atom) = -0.29
- total DFT energy (no corrections) (eV per atom) = -3.135
- space-group type = P4mm, No. 99

Cell: 3.8607 3.8607 7.6545 Å, 90.00 90.00 90.00°
Closest atoms and distances in Å follow each position.
Fractional positions:
Pr: 0.0000 0.0000 0.8568  4 Mg 3.37, 4 Hg 3.39
Sm: 0.0000 0.0000 0.3535  4 Hg 3.27, 4 Mg 3.31
Mg: 0.5000 0.5000 0.5991  4 Sm 3.31, 4 Pr 3.37, 1 Hg 3.68
Hg: 0.5000 0.5000 0.1186  4 Sm 3.27, 4 Pr 3.39

Here is a geometry-optimized PrMgSnHg structure from Alexandria via LeMat-Bulk. Energies are from GGA-PBE.

Output
- size of the total moment (μB/cell) = 0.000
- ΔE_f (eV/atom) = -0.49
- total DFT energy (no corrections) (eV per atom) = -3.155
- space-group type = Pmmm, No. 47

Cell: 4.4299 4.7073 4.9723 Å, 90.00 90.00 90.00°
Closest atoms and distances in Å follow each position.
Fractional positions:
Pr: 0.5000 0.5000 0.0000  4 Sn 3.23, 4 Hg 3.33, 4 Mg 3.42
Mg: 0.5000 0.0000 0.5000  4 Hg 3.23, 4 Sn 3.33, 4 Pr 3.42
Sn: 0.0000 0.0000 0.0000  4 Pr 3.23, 4 Mg 3.33, 4 Hg 3.42
Hg: 0.0000 0.5000 0.5000  4 Mg 3.23, 4 Pr 3.33, 4 Sn 3.42

Here is a geometry-optimized PrMgSnHg structure from Alexandria via LeMat-Bulk. Energies are from GGA-PBE.

Output
- size of the total moment (μB/cell) = 0.000
- ΔE_f (eV/atom) = -0.41
- total DFT energy (no corrections) (eV per atom) = -3.083
- space-group type = F-43m, No. 216

Cell: 5.2855 5.2855 5.2855 Å, 60.00 60.00 60.00°
Closest atoms and distances in Å follow each position.
Fractional positions:
Pr: 0.0000 0.0000 0.0000  4 Hg 3.24, 4 Sn 3.24
Mg: 0.5000 0.5000 0.5000  4 Hg 3.24, 4 Sn 3.24
Hg: 0.7500 0.7500 0.7500  4 Mg 3.24, 4 Pr 3.24
Sn: 0.2500 0.2500 0.2500  4 Pr 3.24, 4 Mg 3.24

Here is a geometry-optimized SrPrMg2Hg4 structure from Alexandria via LeMat-Bulk. Energies are from GGA-PBE.

Output
- size of the total moment (μB/cell) = 0.000
- ΔE_f (eV/atom) = -0.43
- total DFT energy (no corrections) (eV per atom) = -1.787
- space-group type = R-3m, No. 166

Cell: 5.2272 5.2272 9.1756 Å, 73.45 73.45 60.00°
Closest atoms and distances in Å follow each position.
Fractional positions:
Sr: 0.0000 0.0000 0.0000  8 Hg 3.22-3.25
Pr: 0.5000 0.5000 0.5000  8 Hg 3.20
Mg: 0.7518 0.7518 0.7447  8 Hg 3.19-3.35
Mg: 0.2482 0.2482 0.2553  8 Hg 3.19-3.35
Hg: 0.3771 0.3771 0.8688  1 Pr 3.20, 4 Mg 3.20-3.35, 3 Sr 3.22
Hg: 0.8748 0.8748 0.3755  4 Mg 3.19-3.20, 3 Pr 3.20, 1 Sr 3.25
Hg: 0.1252 0.1252 0.6245  4 Mg 3.19-3.20, 3 Pr 3.20, 1 Sr 3.25
Hg: 0.6229 0.6229 0.1312  1 Pr 3.20, 4 Mg 3.20-3.35, 3 Sr 3.22

Here is a geometry-optimized SrPrMgHg structure from Alexandria via LeMat-Bulk. Energies are from GGA-PBE.

Output
- size of the total moment (μB/cell) = 0.181
- ΔE_f (eV/atom) = -0.29
- total DFT energy (no corrections) (eV per atom) = -2.376
- space-group type = P4mm, No. 99

Cell: 3.9853 3.9853 7.9634 Å, 90.00 90.00 90.00°
Closest atoms and distances in Å follow each position.
Fractional positions:
Sr: 0.0000 0.0000 0.8662  4 Hg 3.51, 4 Mg 3.60, 1 Pr 3.83
Pr: 0.0000 0.0000 0.3476  4 Hg 3.31, 4 Mg 3.39
Mg: 0.5000 0.5000 0.5847  4 Pr 3.39, 4 Sr 3.60, 1 Hg 3.63
Hg: 0.5000 0.5000 0.1294  4 Pr 3.31, 4 Sr 3.51, 1 Mg 3.63

Here is a geometry-optimized SrPrMgHg structure from Alexandria via LeMat-Bulk. Energies are from GGA-PBE.

Output
- size of the total moment (μB/cell) = 0.000
- ΔE_f (eV/atom) = -0.25
- total DFT energy (no corrections) (eV per atom) = -2.339
- space-group type = F-43m, No. 216

Cell: 5.6089 5.6089 5.6089 Å, 60.00 60.00 60.00°
Closest atoms and distances in Å follow each position.
Fractional positions:
Pr: 0.2500 0.2500 0.2500  4 Hg 3.43, 4 Mg 3.43
Sr: 0.7500 0.7500 0.7500  4 Hg 3.43, 4 Mg 3.43
Mg: 0.5000 0.5000 0.5000  4 Sr 3.43, 4 Pr 3.43
Hg: 0.0000 0.0000 0.0000  4 Pr 3.43, 4 Sr 3.43

Here is a geometry-optimized TbPrMgHg structure from Alexandria via LeMat-Bulk. Energies are from GGA-PBE.

Output
- size of the total moment (μB/cell) = 0.000
- ΔE_f (eV/atom) = -0.28
- total DFT energy (no corrections) (eV per atom) = -3.111
- space-group type = P4mm, No. 99

Cell: 3.8176 3.8176 7.6606 Å, 90.00 90.00 90.00°
Closest atoms and distances in Å follow each position.
Fractional positions:
Tb: 0.0000 0.0000 0.3513  4 Hg 3.20, 4 Mg 3.27
Pr: 0.0000 0.0000 0.8563  4 Mg 3.37, 4 Hg 3.41
Mg: 0.5000 0.5000 0.5930  4 Tb 3.27, 4 Pr 3.37, 1 Hg 3.57
Hg: 0.5000 0.5000 0.1274  4 Tb 3.20, 4 Pr 3.41, 1 Mg 3.57

Here is a geometry-optimized TbPrMg2Hg4 structure from Alexandria via LeMat-Bulk. Energies are from GGA-PBE.

Output
- size of the total moment (μB/cell) = 0.000
- ΔE_f (eV/atom) = -0.47
- total DFT energy (no corrections) (eV per atom) = -2.193
- space-group type = R-3m, No. 166

Cell: 5.1335 5.1335 8.9436 Å, 73.32 73.32 60.00°
Closest atoms and distances in Å follow each position.
Fractional positions:
Tb: 0.5000 0.5000 0.5000  8 Hg 3.08-3.13
Pr: 0.0000 0.0000 0.0000  8 Hg 3.17-3.23
Mg: 0.7505 0.7505 0.7486  8 Hg 3.09-3.26
Mg: 0.2495 0.2495 0.2514  8 Hg 3.09-3.26
Hg: 0.3782 0.3782 0.8653  1 Tb 3.08, 4 Mg 3.12-3.26, 3 Pr 3.17
Hg: 0.8725 0.8725 0.3824  4 Mg 3.09-3.16, 3 Tb 3.13, 1 Pr 3.23
Hg: 0.1275 0.1275 0.6176  4 Mg 3.09-3.16, 3 Tb 3.13, 1 Pr 3.23
Hg: 0.6218 0.6218 0.1347  1 Tb 3.08, 4 Mg 3.12-3.26, 3 Pr 3.17

Copy entry 9 word for word.
Here is a geometry-optimized SrPrMgHg structure from Alexandria via LeMat-Bulk. Energies are from GGA-PBE.

Output
- size of the total moment (μB/cell) = 0.181
- ΔE_f (eV/atom) = -0.29
- total DFT energy (no corrections) (eV per atom) = -2.376
- space-group type = P4mm, No. 99

Cell: 3.9853 3.9853 7.9634 Å, 90.00 90.00 90.00°
Closest atoms and distances in Å follow each position.
Fractional positions:
Sr: 0.0000 0.0000 0.8662  4 Hg 3.51, 4 Mg 3.60, 1 Pr 3.83
Pr: 0.0000 0.0000 0.3476  4 Hg 3.31, 4 Mg 3.39
Mg: 0.5000 0.5000 0.5847  4 Pr 3.39, 4 Sr 3.60, 1 Hg 3.63
Hg: 0.5000 0.5000 0.1294  4 Pr 3.31, 4 Sr 3.51, 1 Mg 3.63